(1)
14
Lattice="9.524 0.000 0.000 0.000 2.791 0.000 -3.355 0.000 6.357" Properties=species:S:1:pos:R:3 comment="Ti3V2N2 PBE-GGA optimized geometry" crystal_system=monoclinic total_magnetization_mub_per_cell=0.00 e_form_raw_mev_per_atom=-722 pbc="T T T"
Ti 0.000 0.000 0.000
Ti -0.383 0.000 2.715
Ti 1.789 1.396 3.643
Ti 4.762 1.396 0.000
Ti 4.379 1.396 2.715
Ti 6.551 0.000 3.643
V -0.751 1.396 5.130
V 2.158 0.000 1.227
V 4.011 0.000 5.130
V 6.920 1.396 1.227
N 0.739 1.396 1.646
N 0.668 0.000 4.711
N 5.500 0.000 1.646
N 5.430 1.396 4.711


(2)
12
Lattice="3.220 1.859 10.041 -3.220 1.859 10.041 0.000 -3.718 10.041" Properties=species:S:1:pos:R:3 comment="Ba2NaHg9 PBE-GGA optimized geometry" crystal_system=trigonal total_magnetization_mub_per_cell=0.00 ef_mev_per_atom=-252 pbc="T T T"
Ba 0.000 0.000 4.171
Ba 0.000 0.000 25.953
Na 0.000 0.000 0.000
Hg -1.661 -0.959 12.567
Hg 0.000 0.000 10.127
Hg 0.000 -1.918 17.557
Hg -1.661 0.959 17.557
Hg 0.000 0.000 15.062
Hg 1.661 -0.959 12.566
Hg 0.000 1.918 12.566
Hg 0.000 0.000 19.996
Hg 1.661 0.959 17.557


(3)
5
Lattice="4.927 0.000 0.000 0.000 4.927 0.000 0.000 0.000 4.708" Properties=species:S:1:pos:R:3 comment="MgFePdSe2 PBE-GGA optimized geometry" crystal_system=tetragonal total_magnetization_mub_per_cell=3.43 e_form_raw_mev_per_atom=621 pbc="T T T"
Mg 0.000 0.000 0.000
Fe 2.463 2.463 2.354
Pd 0.000 0.000 2.354
Se 0.000 2.463 0.000
Se 2.463 0.000 0.000


(4)
8
Lattice="10.217 0.000 0.000 0.000 3.232 0.000 -1.026 0.000 5.322" Properties=species:S:1:pos:R:3 comment="SrZrRh2 PBE-GGA optimized geometry" crystal_system=monoclinic total_magnetization_mub_per_cell=0.00 ef_mev_per_atom=-194 pbc="T T T"
Sr 0.000 0.000 0.000
Sr 5.108 1.616 0.000
Zr 2.622 1.616 2.199
Zr 7.731 0.000 2.199
Rh -0.373 1.616 2.677
Rh 1.627 0.000 3.982
Rh 4.736 0.000 2.677
Rh 6.735 1.616 3.982


(5)
8
Lattice="7.568 0.000 0.000 0.000 4.110 0.000 -2.270 0.000 7.575" Properties=species:S:1:pos:R:3 comment="LiPmBi2Se4 PBE-GGA optimized geometry" crystal_system=monoclinic total_magnetization_mub_per_cell=0.00 e_form_raw_mev_per_atom=-824 pbc="T T T"
Li 0.000 0.000 0.000
Pm 2.649 2.055 3.788
Bi -1.135 2.055 3.788
Bi 3.784 0.000 0.000
Se 1.804 2.055 0.888
Se 0.727 0.000 4.757
Se 4.571 0.000 2.819
Se 3.494 2.055 6.687


(6)
6
Lattice="3.097 0.000 0.000 0.000 3.097 0.000 0.000 0.000 18.840" Properties=species:S:1:pos:R:3 comment="KTeAs PBE-GGA optimized geometry" crystal_system=tetragonal total_magnetization_mub_per_cell=0.00 e_form_raw_mev_per_atom=69 pbc="T T T"
K 0.000 0.000 0.000
K 1.549 1.549 9.420
Te 0.000 0.000 6.580
Te 1.549 1.549 16.000
As 0.000 0.000 12.060
As 1.549 1.549 2.640


(7)
6
Lattice="5.153 0.000 0.000 0.000 5.633 0.000 0.000 0.000 4.089" Properties=species:S:1:pos:R:3 comment="Zn2As PBE-GGA optimized geometry" crystal_system=orthorhombic total_magnetization_mub_per_cell=0.00 ef_mev_per_atom=19 pbc="T T T"
Zn 0.040 1.235 0.000
Zn 2.536 4.052 2.044
Zn 2.616 1.581 2.044
Zn 5.112 4.398 0.000
As 0.000 2.817 2.044
As 2.576 0.000 0.000


(8)
28
Lattice="9.687 0.000 0.000 -4.844 8.389 0.000 0.000 0.000 11.258" Properties=species:S:1:pos:R:3 comment="Y9HoEr4 PBE-GGA optimized geometry" crystal_system=hexagonal total_magnetization_mub_per_cell=0.00 ef_mev_per_atom=168 pbc="T T T"
Y -1.834 4.534 2.815
Y 0.000 3.508 5.914
Y 0.000 3.508 10.973
Y -1.806 6.635 5.914
Y -1.806 6.635 10.973
Y 3.038 1.754 0.285
Y 3.038 1.754 5.344
Y 1.834 4.534 2.815
Y 0.000 7.711 2.815
Y 4.844 0.679 8.444
Y 3.009 3.855 8.444
Y 1.806 6.635 5.914
Y 1.806 6.635 10.973
Y 6.649 1.754 0.285
Y 6.649 1.754 5.344
Y 4.844 4.881 0.285
Y 4.844 4.881 5.344
Y 6.678 3.855 8.444
Ho 0.000 5.593 8.444
Ho 4.844 2.796 2.815
Er 0.000 0.000 0.000
Er 0.000 0.000 5.629
Er 0.000 1.850 2.815
Er -3.242 7.464 2.815
Er 1.602 0.925 8.444
Er 3.242 7.464 2.815
Er 8.085 0.925 8.444
Er 4.844 6.539 8.444


(9)
5
Lattice="4.888 0.000 0.000 0.000 4.888 0.000 0.000 0.000 5.649" Properties=species:S:1:pos:R:3 comment="CdGeIrCl2 PBE-GGA optimized geometry" crystal_system=tetragonal total_magnetization_mub_per_cell=2.62 e_form_raw_mev_per_atom=864 pbc="T T T"
Cd 0.000 0.000 0.000
Ge 0.000 0.000 2.825
Ir 2.444 2.444 0.000
Cl 0.000 2.444 2.825
Cl 2.444 0.000 2.825


(10)
11
Lattice="6.082 0.000 0.000 -0.238 7.155 0.000 -2.070 -1.870 6.644" Properties=species:S:1:pos:R:3 comment="Ce8PuAu2 PBE-GGA optimized geometry" crystal_system=triclinic total_magnetization_mub_per_cell=2.08 ef_mev_per_atom=-258 pbc="T T T"
Ce -0.309 0.281 3.100
Ce -1.146 -0.519 6.318
Ce -0.266 2.947 5.707
Ce 0.912 3.857 2.239
Ce 2.862 1.427 4.405
Ce 4.040 2.338 0.937
Ce 4.920 5.804 0.326
Ce 4.083 5.004 3.544
Pu -0.119 3.577 0.000
Au 1.296 5.577 4.832
Au 2.478 -0.293 1.812


(11)
5
Lattice="5.222 0.000 0.000 0.000 5.222 0.000 0.000 0.000 5.011" Properties=species:S:1:pos:R:3 comment="KVPS2 PBE-GGA optimized geometry" crystal_system=tetragonal total_magnetization_mub_per_cell=0.65 e_form_raw_mev_per_atom=1888 pbc="T T T"
K 0.000 0.000 0.000
V 2.611 2.611 2.506
P 0.000 0.000 2.506
S 0.000 2.611 0.000
S 2.611 0.000 0.000


(12)
15
Lattice="3.576 0.000 0.000 0.000 5.584 0.000 -1.708 0.000 23.107" Properties=species:S:1:pos:R:3 comment="TbEr12Tm2 PBE-GGA optimized geometry" crystal_system=monoclinic total_magnetization_mub_per_cell=0.00 ef_mev_per_atom=75 pbc="T T T"
Tb 0.000 0.000 0.000
Er 0.009 2.792 4.471
Er 0.036 2.792 10.229
Er 0.045 0.000 13.310
Er 0.054 2.792 15.663
Er 0.064 0.000 19.689
Er 0.090 2.792 21.555
Er 1.778 2.792 1.552
Er 1.804 0.000 3.418
Er 1.814 2.792 7.444
Er 1.823 0.000 9.797
Er 1.832 2.792 12.878
Er 1.859 2.792 18.637
Tm 0.025 0.000 6.580
Tm 1.843 0.000 16.527